Computed, not measured: PuTlCu2Se4 after structural relaxation at the PBE level of DFT.

Computed properties:
symmetry = I222
calculated volume = 187 Å³ per cell
Fermi-level density of states = 11.99 states/eV/cell
formation energy from raw total energies = -43 kJ/mol of atoms
raw total energy = -5.30 eV per atom

a b c (Å): 6.953 6.256 6.256
angles (deg): 67.36 56.24 56.24
Fractional positions:
Pu (0.500, 0.500, 0.500)
Tl (0.000, 0.000, 0.000)
Cu (0.178, 0.322, 0.322)
Cu (0.822, 0.678, 0.678)
Se (0.417, 0.041, 0.564)
Se (0.023, 0.959, 0.436)
Se (0.977, 0.564, 0.041)
Se (0.583, 0.436, 0.959)